First-principles (PBE) data for K3Pr2SbTe6 after structural relaxation, as listed in Alexandria.

Unit cell a=8.003 b=8.003 c=8.660 alpha=98.88 beta=98.88 gamma=120.00
Fractional positions:
Pr (0.334, 0.666, 0.000)
Pr (0.666, 0.334, 0.000)
K (0.832, 0.168, 0.500)
K (0.168, 0.832, 0.500)
K (0.500, 0.500, 0.500)
Te (0.394, 0.070, 0.211)
Te (0.606, 0.930, 0.789)
Te (0.070, 0.394, 0.211)
Te (0.747, 0.747, 0.212)
Te (0.253, 0.253, 0.788)
Te (0.930, 0.606, 0.789)
Sb (0.000, 0.000, 0.000)

Values from the calculation:
Density of states at the Fermi level in states/eV/f.u.: 0.0
E_form (uncorrected) in kcal/mol of atoms: -25.7
Total magnetization in μB per cell: 0.0

---

First-principles (PBE) data for K2PrSbTe4 after structural relaxation, as listed in Alexandria.

Unit cell a=4.582 b=7.998 c=8.652 alpha=107.70 beta=90.00 gamma=90.00
Fractional positions:
Sb (0.000, 0.000, 0.000)
Te (0.000, 0.254, 0.788)
Te (0.000, 0.746, 0.212)
Te (0.500, 0.772, 0.792)
Te (0.500, 0.228, 0.208)
Pr (0.500, 0.500, 0.000)
K (0.000, 0.500, 0.500)
K (0.500, 0.000, 0.500)

Values from the calculation:
E_form (uncorrected) in kcal/mol of atoms: -22.2
Total magnetization in μB per cell: 0.0

---

First-principles (PBE) data for KPr2Sc after structural relaxation, as listed in Alexandria.

Unit cell a=3.612 b=3.612 c=13.347 alpha=82.22 beta=82.22 gamma=60.00
Fractional positions:
Sc (0.500, 0.500, 0.500)
Pr (0.098, 0.098, 0.705)
Pr (0.902, 0.902, 0.295)
K (0.000, 0.000, 0.000)

Values from the calculation:
Density of states at the Fermi level in states/eV/f.u.: 4.5
Formation enthalpy at 0 K in eV/atom: 0.2207
Total magnetization in μB per cell: 0.0